[1]
Density functional theory data (GGA-PBEsol) for crystalline TaZn2Re at its relaxed geometry.

Structure (CIF):
```
data_TaZn2Re
_symmetry_space_group_name_H-M 'P m m m'
_symmetry_Int_Tables_number 47
_symmetry_space_group_name_Hall '-P 2 2'
_cell_length_a 2.661
_cell_length_b 4.154
_cell_length_c 5.336
_cell_angle_alpha 90.00
_cell_angle_beta 90.00
_cell_angle_gamma 90.00
loop_
_atom_site_label
_atom_site_type_symbol
_atom_site_fract_x
_atom_site_fract_y
_atom_site_fract_z
Ta1 Ta 0.000 0.000 0.000
Zn1 Zn 0.500 0.500 0.259
Re1 Re 0.000 0.000 0.500
```

## Properties
The value obtained for the total moment is 0.00 μB/cell. The formation energy is 0.128 eV/atom. The polymorph energy (0 for the lowest one) is 0.041 eV/atom. For the final energy, the calculation gives -7.13 eV/atom.

=====

[2]
Density functional theory data (GGA-PBEsol) for crystalline As2RhSeN at its relaxed geometry.

Structure (CIF):
```
data_As2RhSeN
_symmetry_space_group_name_H-M 'P 4/m m m'
_symmetry_Int_Tables_number 123
_symmetry_space_group_name_Hall '-P 4 2'
_cell_length_a 4.643
_cell_length_b 4.643
_cell_length_c 5.082
_cell_angle_alpha 90.00
_cell_angle_beta 90.00
_cell_angle_gamma 90.00
loop_
_atom_site_label
_atom_site_type_symbol
_atom_site_fract_x
_atom_site_fract_y
_atom_site_fract_z
As1 As 0.000 0.500 0.000
Rh1 Rh 0.000 0.000 0.000
Se1 Se 0.000 0.000 0.500
N1 N 0.500 0.500 0.500
```

## Properties
The value obtained for the total moment is 2.36 μB/cell. For the formation energy without anion corrections, the calculation gives 143.6 kJ/mol of atoms. For the final energy, the calculation gives -4.66 eV/atom.

=====

[3]
Density functional theory data (GGA-PBEsol) for crystalline Zn2CdAs at its relaxed geometry.

Structure (CIF):
```
data_Zn2CdAs
_symmetry_space_group_name_H-M 'P m m 2'
_symmetry_Int_Tables_number 25
_symmetry_space_group_name_Hall 'P 2 -2'
_cell_length_a 2.773
_cell_length_b 3.734
_cell_length_c 6.813
_cell_angle_alpha 90.00
_cell_angle_beta 90.00
_cell_angle_gamma 90.00
loop_
_atom_site_label
_atom_site_type_symbol
_atom_site_fract_x
_atom_site_fract_y
_atom_site_fract_z
Zn1 Zn 0.000 0.000 0.000
Zn2 Zn 0.500 0.500 0.204
Cd1 Cd 0.500 0.500 0.746
As1 As 0.000 0.000 0.427
```

## Properties
The value obtained for the total moment is 0.00 μB/cell. The formation energy is 0.138 eV/atom. The polymorph energy (0 for the lowest one) is 0.000 eV/atom. For the final energy, the calculation gives -2.23 eV/atom.

=====

[4]
Density functional theory data (GGA-PBEsol) for crystalline ScCr2Au at its relaxed geometry.

Structure (CIF):
```
data_ScCr2Au
_symmetry_space_group_name_H-M 'C 1 2/m 1'
_symmetry_Int_Tables_number 12
_symmetry_space_group_name_Hall '-C 2y'
_cell_length_a 5.222
_cell_length_b 8.959
_cell_length_c 2.705
_cell_angle_alpha 90.00
_cell_angle_beta 110.76
_cell_angle_gamma 90.00
loop_
_atom_site_label
_atom_site_type_symbol
_atom_site_fract_x
_atom_site_fract_y
_atom_site_fract_z
Sc1 Sc 0.000 0.000 0.000
Cr1 Cr 0.250 0.250 0.500
Au1 Au 0.000 0.500 0.000
```

## Properties
The value obtained for the total moment is 3.12 μB/cell. The formation energy is 0.376 eV/atom. The polymorph energy (0 for the lowest one) is 0.154 eV/atom. For the final energy, the calculation gives -7.38 eV/atom.

=====

[5]
Density functional theory data (GGA-PBEsol) for crystalline Ti11BeO20 at its relaxed geometry.

Structure (CIF):
```
data_Ti11BeO20
_symmetry_space_group_name_H-M 'P -1'
_symmetry_Int_Tables_number 2
_symmetry_space_group_name_Hall '-P 1'
_cell_length_a 7.119
_cell_length_b 7.641
_cell_length_c 12.978
_cell_angle_alpha 90.42
_cell_angle_beta 93.00
_cell_angle_gamma 104.66
loop_
_atom_site_label
_atom_site_type_symbol
_atom_site_fract_x
_atom_site_fract_y
_atom_site_fract_z
Ti1 Ti 0.003 0.298 0.131
Ti2 Ti 0.008 0.205 0.372
Ti3 Ti 0.013 0.417 0.701
Ti4 Ti 0.041 0.937 0.206
Ti5 Ti 0.303 0.711 0.084
Ti6 Ti 0.313 0.207 0.580
Ti7 Ti 0.321 0.445 0.923
Ti8 Ti 0.321 0.586 0.515
Ti9 Ti 0.324 0.070 0.015
Ti10 Ti 0.334 0.933 0.431
Ti11 Ti 0.353 0.126 0.786
Be1 Be 0.382 0.513 0.284
O1 O 0.134 0.894 0.767
O2 O 0.156 0.736 0.198
O3 O 0.157 0.616 0.622
O4 O 0.158 0.403 0.269
O5 O 0.160 0.233 0.701
O6 O 0.160 0.538 0.833
O7 O 0.166 0.042 0.335
O8 O 0.167 0.959 0.548
O9 O 0.171 0.827 0.976
O10 O 0.172 0.127 0.121
O11 O 0.172 0.458 0.044
O12 O 0.174 0.675 0.407
O13 O 0.177 0.329 0.480
O14 O 0.186 0.180 0.902
O15 O 0.491 0.608 0.185
O16 O 0.495 0.960 0.104
O17 O 0.496 0.106 0.672
O18 O 0.497 0.180 0.467
O19 O 0.497 0.671 0.980
O20 O 0.499 0.458 0.606
```

## Properties
The value obtained for the total moment is 0.00 μB/cell. For the formation energy without anion corrections, the calculation gives -286.2 kJ/mol of atoms. For the final energy, the calculation gives -9.23 eV/atom.

=====

[6]
Density functional theory data (GGA-PBEsol) for crystalline NbMoO4 at its relaxed geometry.

Structure (CIF):
```
data_NbMoO4
_symmetry_space_group_name_H-M 'C m m m'
_symmetry_Int_Tables_number 65
_symmetry_space_group_name_Hall '-C 2 2'
_cell_length_a 6.971
_cell_length_b 7.004
_cell_length_c 2.794
_cell_angle_alpha 90.00
_cell_angle_beta 90.00
_cell_angle_gamma 90.00
loop_
_atom_site_label
_atom_site_type_symbol
_atom_site_fract_x
_atom_site_fract_y
_atom_site_fract_z
Nb1 Nb 0.000 0.000 0.000
Mo1 Mo 0.000 0.500 0.500
O1 O 0.000 0.291 0.000
O2 O 0.220 0.000 0.500
```

## Properties
The value obtained for the total moment is 0.01 μB/cell. For the formation energy without anion corrections, the calculation gives -207.9 kJ/mol of atoms. For the final energy, the calculation gives -9.42 eV/atom.